Entry 1:
16
Lattice="4.587 0.000 0.000 0.000 4.587 0.000 0.000 0.000 19.272" Properties=species:S:1:pos:R:3 comment="KGaW2, optimized geometry, DFT GGA-PBE" n_ef_per_ev_atom=0.8919 dft_energy_ev_per_atom=-5.97 sg="I-42d (122)" delta_e_f_ev_per_atom=1.54 pbc="T T T"
K 0.000 0.000 0.000
K 0.000 2.293 4.818
K 2.293 0.000 14.454
K 2.293 2.293 9.636
Ga 0.000 0.000 9.636
Ga 0.000 2.293 14.454
Ga 2.293 0.000 4.818
Ga 2.293 2.293 0.000
W 0.402 1.147 12.045
W 1.147 2.695 16.863
W 1.147 4.185 7.227
W 1.891 1.147 2.409
W 2.695 3.440 2.409
W 3.440 0.402 7.227
W 3.440 1.891 16.863
W 4.185 3.440 12.045



Entry 2:
16
Lattice="6.892 0.000 0.000 0.000 6.892 0.000 0.000 0.000 6.892" Properties=species:S:1:pos:R:3 comment="KGa2W, optimized geometry, DFT GGA-PBE" n_ef_per_ev_atom=0.9265 dft_energy_ev_per_atom=-4.07 sg="Fm-3m (225)" e_above_lowest_polymorph_mev_per_atom=84 delta_e_f_ev_per_atom=0.96 pbc="T T T"
K 0.000 0.000 0.000
K 0.000 3.446 3.446
K 3.446 0.000 3.446
K 3.446 3.446 0.000
Ga 1.723 1.723 1.723
Ga 1.723 1.723 5.169
Ga 1.723 5.169 1.723
Ga 1.723 5.169 5.169
Ga 5.169 1.723 1.723
Ga 5.169 1.723 5.169
Ga 5.169 5.169 1.723
Ga 5.169 5.169 5.169
W 0.000 0.000 3.446
W 0.000 3.446 0.000
W 3.446 0.000 0.000
W 3.446 3.446 3.446



Entry 3:
5
Lattice="5.100 0.000 0.000 0.000 5.100 0.000 0.000 0.000 5.100" Properties=species:S:1:pos:R:3 comment="KGa3W, optimized geometry, DFT GGA-PBE" n_ef_per_ev_atom=1.2217 dft_energy_ev_per_atom=-2.33 sg="Pm-3m (221)" e_above_lowest_polymorph_mev_per_atom=2146 delta_e_f_ev_per_atom=2.30 pbc="T T T"
K 0.000 0.000 0.000
Ga 0.000 0.000 2.550
Ga 0.000 2.550 0.000
Ga 2.550 0.000 0.000
W 2.550 2.550 2.550



Entry 4:
16
Lattice="5.543 0.000 0.000 0.000 5.543 0.000 0.000 0.000 17.051" Properties=species:S:1:pos:R:3 comment="KGa2W, optimized geometry, DFT GGA-PBE" n_ef_per_ev_atom=1.1327 dft_energy_ev_per_atom=-4.15 sg="I4_1/amd (141)" e_above_lowest_polymorph_mev_per_atom=0 delta_e_f_ev_per_atom=0.87 pbc="T T T"
K 0.000 1.386 6.394
K 0.000 4.157 10.657
K 2.771 1.386 2.131
K 2.771 4.157 14.920
Ga 0.000 0.000 0.000
Ga 0.000 2.771 0.000
Ga 1.386 1.386 12.788
Ga 1.386 4.157 4.263
Ga 2.771 0.000 8.526
Ga 2.771 2.771 8.526
Ga 4.157 1.386 12.788
Ga 4.157 4.157 4.263
W 0.000 1.386 14.920
W 0.000 4.157 2.131
W 2.771 1.386 10.657
W 2.771 4.157 6.394



Entry 5:
5
Lattice="6.297 0.000 0.000 0.000 6.297 0.000 0.000 0.000 4.645" Properties=species:S:1:pos:R:3 comment="K2ZnGaW, optimized geometry, DFT GGA-PBE" n_ef_per_ev_atom=0.6960 dft_energy_ev_per_atom=-2.48 sg="P4/mmm (123)" delta_e_f_ev_per_atom=1.41 pbc="T T T"
K 0.000 3.148 0.000
K 3.148 0.000 0.000
Zn 0.000 0.000 0.000
Ga 0.000 0.000 2.322
W 3.148 3.148 2.322



Entry 6:
5
Lattice="5.656 0.000 0.000 0.000 5.656 0.000 0.000 0.000 5.656" Properties=species:S:1:pos:R:3 comment="KYGa3, optimized geometry, DFT GGA-PBE" n_ef_per_ev_atom=1.4025 dft_energy_ev_per_atom=-3.02 sg="Pm-3m (221)" e_above_lowest_polymorph_mev_per_atom=0 delta_e_f_ev_per_atom=0.31 pbc="T T T"
K 0.000 0.000 0.000
Y 2.828 2.828 2.828
Ga 0.000 2.828 2.828
Ga 2.828 0.000 2.828
Ga 2.828 2.828 0.000



Entry 7:
10
Lattice="5.727 0.000 0.000 0.000 5.727 0.000 0.000 0.000 10.118" Properties=species:S:1:pos:R:3 comment="K2YGa2, optimized geometry, DFT GGA-PBE" n_ef_per_ev_atom=0.8404 dft_energy_ev_per_atom=-2.45 sg="I4/mmm (139)" e_above_lowest_polymorph_mev_per_atom=168 delta_e_f_ev_per_atom=0.50 pbc="T T T"
K 0.000 0.000 1.391
K 0.000 0.000 8.727
K 2.863 2.863 3.668
K 2.863 2.863 6.450
Y 0.000 0.000 5.059
Y 2.863 2.863 0.000
Ga 0.000 2.863 2.529
Ga 0.000 2.863 7.588
Ga 2.863 0.000 2.529
Ga 2.863 0.000 7.588



Entry 8:
5
Lattice="5.315 0.000 0.000 0.000 5.315 0.000 0.000 0.000 5.315" Properties=species:S:1:pos:R:3 comment="KYGa3, optimized geometry, DFT GGA-PBE" n_ef_per_ev_atom=1.0743 dft_energy_ev_per_atom=-2.50 sg="Pm-3m (221)" e_above_lowest_polymorph_mev_per_atom=520 delta_e_f_ev_per_atom=0.83 pbc="T T T"
K 0.000 0.000 0.000
Y 2.657 2.657 2.657
Ga 0.000 0.000 2.657
Ga 0.000 2.657 0.000
Ga 2.657 0.000 0.000



Entry 9:
5
Lattice="5.696 0.000 0.000 0.000 5.696 0.000 0.000 0.000 5.696" Properties=species:S:1:pos:R:3 comment="KY3Ga, optimized geometry, DFT GGA-PBE" n_ef_per_ev_atom=0.9455 dft_energy_ev_per_atom=-4.50 sg="Pm-3m (221)" e_above_lowest_polymorph_mev_per_atom=0 delta_e_f_ev_per_atom=0.20 pbc="T T T"
K 0.000 0.000 0.000
Y 0.000 2.848 2.848
Y 2.848 0.000 2.848
Y 2.848 2.848 0.000
Ga 2.848 2.848 2.848



Entry 10:
5
Lattice="5.392 0.000 0.000 0.000 5.392 0.000 0.000 0.000 5.392" Properties=species:S:1:pos:R:3 comment="KY3Ga, optimized geometry, DFT GGA-PBE" n_ef_per_ev_atom=0.8937 dft_energy_ev_per_atom=-3.46 sg="Pm-3m (221)" e_above_lowest_polymorph_mev_per_atom=1039 delta_e_f_ev_per_atom=1.24 pbc="T T T"
K 0.000 0.000 0.000
Y 0.000 0.000 2.696
Y 0.000 2.696 0.000
Y 2.696 0.000 0.000
Ga 2.696 2.696 2.696



Entry 11:
10
Lattice="9.472 0.000 0.000 0.000 9.472 0.000 0.000 0.000 3.397" Properties=species:S:1:pos:R:3 comment="K2YGa2, optimized geometry, DFT GGA-PBE" n_ef_per_ev_atom=0.5668 dft_energy_ev_per_atom=-2.61 sg="P4/mbm (127)" e_above_lowest_polymorph_mev_per_atom=0 delta_e_f_ev_per_atom=0.33 pbc="T T T"
K 1.164 3.573 0.000
K 3.573 8.309 0.000
K 5.900 1.164 0.000
K 8.309 5.900 0.000
Y 0.000 0.000 0.000
Y 4.736 4.736 0.000
Ga 1.698 6.434 1.698
Ga 3.038 1.698 1.698
Ga 6.434 7.775 1.698
Ga 7.775 3.038 1.698



Entry 12:
5
Lattice="6.436 0.000 0.000 0.000 6.436 0.000 0.000 0.000 6.436" Properties=species:S:1:pos:R:3 comment="K3YGa, optimized geometry, DFT GGA-PBE" n_ef_per_ev_atom=1.6176 dft_energy_ev_per_atom=-1.87 sg="Pm-3m (221)" delta_e_f_ev_per_atom=0.68 pbc="T T T"
K 0.000 0.000 3.218
K 0.000 3.218 0.000
K 3.218 0.000 0.000
Y 3.218 3.218 3.218
Ga 0.000 0.000 0.000



Entry 13:
10
Lattice="7.017 0.000 0.000 0.000 7.017 0.000 0.000 0.000 5.773" Properties=species:S:1:pos:R:3 comment="K2Zn2Ga, optimized geometry, DFT GGA-PBE" n_ef_per_ev_atom=0.4809 dft_energy_ev_per_atom=-1.45 sg="P4/mbm (127)" delta_e_f_ev_per_atom=0.10 pbc="T T T"
K 1.276 2.233 0.000
K 2.233 5.741 0.000
K 4.785 1.276 0.000
K 5.741 4.785 0.000
Zn 0.967 4.476 2.887
Zn 2.542 0.967 2.887
Zn 4.476 6.050 2.887
Zn 6.050 2.542 2.887
Ga 0.000 0.000 2.887
Ga 3.509 3.509 2.887



Entry 14:
5
Lattice="6.575 0.000 0.000 0.000 6.575 0.000 0.000 0.000 6.575" Properties=species:S:1:pos:R:3 comment="K3ZnGa, optimized geometry, DFT GGA-PBE" n_ef_per_ev_atom=0.6957 dft_energy_ev_per_atom=-1.20 sg="Pm-3m (221)" e_above_lowest_polymorph_mev_per_atom=0 delta_e_f_ev_per_atom=0.32 pbc="T T T"
K 0.000 0.000 3.287
K 0.000 3.287 0.000
K 3.287 0.000 0.000
Zn 3.287 3.287 3.287
Ga 0.000 0.000 0.000



Entry 15:
5
Lattice="5.080 0.000 0.000 0.000 5.080 0.000 0.000 0.000 5.080" Properties=species:S:1:pos:R:3 comment="KZnGa3, optimized geometry, DFT GGA-PBE" n_ef_per_ev_atom=0.7467 dft_energy_ev_per_atom=-2.12 sg="Pm-3m (221)" e_above_lowest_polymorph_mev_per_atom=271 delta_e_f_ev_per_atom=0.17 pbc="T T T"
K 0.000 0.000 0.000
Zn 2.540 2.540 2.540
Ga 0.000 2.540 2.540
Ga 2.540 0.000 2.540
Ga 2.540 2.540 0.000



Entry 16:
10
Lattice="6.306 0.000 0.000 0.000 6.348 0.000 -3.142 0.000 5.591" Properties=species:S:1:pos:R:3 comment="KZnGa3, optimized geometry, DFT GGA-PBE" n_ef_per_ev_atom=0.3566 dft_energy_ev_per_atom=-2.39 sg="Cm (8)" e_above_lowest_polymorph_mev_per_atom=0 delta_e_f_ev_per_atom=-0.10 pbc="T T T"
K 0.000 0.000 0.000
K 3.153 3.174 0.000
Zn 0.010 0.000 4.282
Zn 3.163 3.174 4.282
Ga -1.571 1.581 2.816
Ga -1.571 4.766 2.816
Ga 0.000 3.174 1.318
Ga 1.582 1.593 2.816
Ga 1.582 4.755 2.816
Ga 3.153 0.000 1.318



Entry 17:
16
Lattice="5.165 0.000 0.000 0.000 5.165 0.000 0.000 0.000 17.921" Properties=species:S:1:pos:R:3 comment="KZnGa2, optimized geometry, DFT GGA-PBE" n_ef_per_ev_atom=0.6427 dft_energy_ev_per_atom=-2.02 sg="I-42d (122)" delta_e_f_ev_per_atom=0.09 pbc="T T T"
K 0.000 0.000 0.000
K 0.000 2.582 4.480
K 2.582 0.000 13.441
K 2.582 2.582 8.961
Zn 0.000 0.000 8.961
Zn 0.000 2.582 13.441
Zn 2.582 0.000 4.480
Zn 2.582 2.582 0.000
Ga 0.022 1.291 11.201
Ga 1.291 2.604 15.681
Ga 1.291 5.143 6.720
Ga 2.560 1.291 2.240
Ga 2.604 3.873 2.240
Ga 3.873 0.022 6.720
Ga 3.873 2.560 15.681
Ga 5.143 3.873 11.201



Entry 18:
13
Lattice="2.816 -6.805 0.000 2.816 6.805 0.000 -2.480 0.000 6.850" Properties=species:S:1:pos:R:3 comment="KZnGa11, optimized geometry, DFT GGA-PBE" n_ef_per_ev_atom=0.2441 dft_energy_ev_per_atom=-2.76 sg="C2/m (12)" delta_e_f_ev_per_atom=-0.02 pbc="T T T"
K 0.000 0.000 0.000
Zn 1.576 0.000 3.425
Ga -1.240 0.000 3.425
Ga 1.408 3.403 0.000
Ga 0.149 2.418 2.481
Ga 0.289 1.477 5.339
Ga 0.149 -2.418 2.481
Ga 2.864 1.477 1.510
Ga 1.408 -3.403 0.000
Ga 0.289 -1.477 5.339
Ga 3.004 2.418 4.369
Ga 2.864 -1.477 1.510
Ga 3.004 -2.418 4.369



Entry 19:
4
Lattice="3.366 0.000 0.000 0.000 3.366 0.000 0.000 0.000 8.117" Properties=species:S:1:pos:R:3 comment="KZnGa2, optimized geometry, DFT GGA-PBE" n_ef_per_ev_atom=0.2894 dft_energy_ev_per_atom=-2.10 sg="P4/mmm (123)" delta_e_f_ev_per_atom=0.01 pbc="T T T"
K 0.000 0.000 0.000
Zn 0.000 0.000 4.059
Ga 1.683 1.683 2.578
Ga 1.683 1.683 5.539



Entry 20:
17
Lattice="-4.478 4.478 4.478 4.478 -4.478 4.478 4.478 4.478 -4.478" Properties=species:S:1:pos:R:3 comment="KZn4Ga12, optimized geometry, DFT GGA-PBE" n_ef_per_ev_atom=0.5132 dft_energy_ev_per_atom=-2.42 sg="Im-3 (204)" delta_e_f_ev_per_atom=0.08 pbc="T T T"
K 0.000 0.000 0.000
Zn 2.239 2.239 -2.239
Zn 2.239 -2.239 2.239
Zn -2.239 2.239 2.239
Zn 2.239 2.239 2.239
Ga 3.183 1.375 0.000
Ga 5.772 1.375 0.000
Ga 4.478 -1.295 3.103
Ga 3.103 4.478 -1.295
Ga 1.375 0.000 3.183
Ga 4.478 1.295 3.103
Ga 0.000 3.183 1.375
Ga 3.103 4.478 1.295
Ga 1.375 0.000 5.772
Ga 0.000 5.772 1.375
Ga -1.295 3.103 4.478
Ga 1.295 3.103 4.478



Entry 21:
22
Lattice="5.225 3.017 5.021 -5.225 3.017 5.021 0.000 -6.033 5.021" Properties=species:S:1:pos:R:3 comment="K2Zn3Ga17, optimized geometry, DFT GGA-PBE" n_ef_per_ev_atom=0.3872 dft_energy_ev_per_atom=-2.56 sg="R-3m (166)" delta_e_f_ev_per_atom=0.06 pbc="T T T"
K 0.000 0.000 2.151
K 0.000 0.000 12.911
Zn -5.225 0.000 7.531
Zn -2.613 1.508 2.510
Zn 2.613 1.508 2.510
Ga -2.613 -1.508 5.021
Ga 0.000 -3.051 5.099
Ga -2.643 1.526 5.099
Ga -1.337 -2.315 7.531
Ga -2.673 0.000 7.531
Ga -2.643 -1.526 9.964
Ga 0.000 0.000 5.784
Ga -2.613 1.508 10.042
Ga 1.337 -2.315 7.531
Ga 0.000 3.017 5.021
Ga -1.337 2.315 7.531
Ga 0.000 0.000 9.278
Ga 2.643 1.526 5.099
Ga 2.673 0.000 7.531
Ga 1.337 2.315 7.531
Ga 2.643 -1.526 9.964
Ga 0.000 3.051 9.964



Entry 22:
16
Lattice="9.473 0.000 0.000 0.000 9.473 0.000 0.000 0.000 6.295" Properties=species:S:1:pos:R:3 comment="K2ZnGa, optimized geometry, DFT GGA-PBE" n_ef_per_ev_atom=0.8452 dft_energy_ev_per_atom=-1.32 sg="I-42d (122)" e_above_lowest_polymorph_mev_per_atom=289 delta_e_f_ev_per_atom=0.30 pbc="T T T"
K 2.235 7.105 0.787
K 2.368 2.235 5.508
K 2.368 2.502 2.361
K 2.502 7.105 3.934
K 6.971 2.368 3.934
K 7.105 6.971 2.361
K 7.105 7.239 5.508
K 7.239 2.368 0.787
Zn 0.000 0.000 0.000
Zn 0.000 4.737 1.574
Zn 4.737 0.000 4.721
Zn 4.737 4.737 3.147
Ga 0.000 0.000 3.147
Ga 0.000 4.737 4.721
Ga 4.737 0.000 1.574
Ga 4.737 4.737 0.000



Entry 23:
11
Lattice="5.414 0.000 0.000 0.000 5.414 0.000 0.000 0.000 9.995" Properties=species:S:1:pos:R:3 comment="KZn2Ga8, optimized geometry, DFT GGA-PBE" n_ef_per_ev_atom=0.3183 dft_energy_ev_per_atom=-2.42 sg="P4/mmm (123)" delta_e_f_ev_per_atom=0.11 pbc="T T T"
K 0.000 0.000 0.000
Zn 0.000 2.707 4.997
Zn 2.707 0.000 4.997
Ga 1.360 1.360 3.083
Ga 1.360 1.360 6.912
Ga 1.360 4.054 3.083
Ga 1.360 4.054 6.912
Ga 4.054 1.360 3.083
Ga 4.054 1.360 6.912
Ga 4.054 4.054 3.083
Ga 4.054 4.054 6.912



Entry 24:
9
Lattice="4.895 0.000 0.000 0.000 4.895 0.000 0.000 0.000 7.913" Properties=species:S:1:pos:R:3 comment="KZn2Ga6, optimized geometry, DFT GGA-PBE" n_ef_per_ev_atom=0.3918 dft_energy_ev_per_atom=-2.46 sg="P4/mmm (123)" delta_e_f_ev_per_atom=-0.04 pbc="T T T"
K 0.000 0.000 0.000
Zn 2.447 2.447 1.257
Zn 2.447 2.447 6.656
Ga 0.000 0.000 3.957
Ga 0.000 2.447 2.499
Ga 0.000 2.447 5.414
Ga 2.447 0.000 2.499
Ga 2.447 0.000 5.414
Ga 2.447 2.447 3.957